Compound: Nd3DyIn
Source: the Alexandria database
Functional: PBE-GGA
Structure: optimized geometry

Summary:
- formation energy (meV per atom) = 141
- ρ (kg/m³) = 6996
- energy above the most stable polymorph in this dataset (meV per atom) = 330
- E_tot (Ry per atom) = -0.308

abc: 7.9008 7.9008 7.9008
angles: 88.46 114.65 127.58
Closest atoms and distances in Å follow each position.
Sites, in units of the cell vectors:
Nd1 0.0744 0.3040 0.7312  1 Dy 3.15, 1 In 3.35, 3 Nd 3.37-3.49
Nd2 0.0744 0.8432 0.2704  1 Dy 3.15, 1 In 3.35, 3 Nd 3.37-3.49
Nd3 0.5728 0.8040 0.7296  1 Dy 3.15, 1 In 3.35, 3 Nd 3.37-3.49
Nd4 0.1035 0.2833 0.3202  1 Dy 3.00, 1 In 3.15
Nd5 0.5728 0.3432 0.2688  1 Dy 3.15, 1 In 3.35, 3 Nd 3.37-3.49
Nd6 0.9631 0.7833 0.6798  1 Dy 3.00, 1 In 3.15
Dy1 0.4598 0.9600 0.9998  1 In 2.97, 3 Nd 3.00-3.15
Dy2 0.9601 0.4600 0.0002  1 In 2.97, 3 Nd 3.00-3.15
In1 0.5789 0.7678 0.3110  1 Dy 2.97, 1 Nd 3.15
In2 0.4568 0.2678 0.6889  1 Dy 2.97, 1 Nd 3.15

Compound: Nd2Dy6In
Source: the Alexandria database
Functional: PBE-GGA
Structure: optimized geometry

Summary:
- formation energy (meV per atom) = -20
- ρ (kg/m³) = 8004
- energy above the most stable polymorph in this dataset (meV per atom) = 68
- E_tot (Ry per atom) = -0.327

abc: 3.5077 10.2074 9.6374
angles: 121.98 100.44 90.00
Closest atoms and distances in Å follow each position.
Sites, in units of the cell vectors:
Nd1 0.1519 0.6515 0.3030  10 Dy 3.48-3.65, 2 Nd 3.51
Nd2 0.8481 0.3485 0.6970  10 Dy 3.48-3.65, 2 Nd 3.51
Dy1 0.1772 0.3387 0.3539  1 In 3.27, 7 Dy 3.30-3.60, 3 Nd 3.48-3.65
Dy2 0.8228 0.9848 0.6461  1 In 3.27, 7 Dy 3.30-3.60, 3 Nd 3.48-3.65
Dy3 0.8228 0.6613 0.6461  1 In 3.27, 7 Dy 3.30-3.60, 3 Nd 3.48-3.65
Dy4 0.5000 0.2950 0.0000  2 In 3.48, 6 Dy 3.51-3.60, 4 Nd 3.65
Dy5 0.1772 0.0152 0.3539  1 In 3.27, 7 Dy 3.30-3.60, 3 Nd 3.48-3.65
Dy6 0.5000 0.7050 0.0000  2 In 3.48, 6 Dy 3.51-3.60, 4 Nd 3.65
In1 0.0000 0.0000 0.0000  8 Dy 3.27-3.48, 2 In 3.51

Compound: NdDyIn
Source: the Alexandria database
Functional: PBE-GGA
Structure: optimized geometry

Summary:
- formation energy (meV per atom) = -229
- ρ (kg/m³) = 7573
- energy above the most stable polymorph in this dataset (meV per atom) = 67
- E_tot (Ry per atom) = -0.314

abc: 3.5171 3.5171 15.1499
angles: 96.67 96.67 90.00
Closest atoms and distances in Å follow each position.
Sites, in units of the cell vectors:
Nd1 0.5610 0.5610 0.1219  4 In 3.30, 5 Nd 3.52-3.64
Nd2 0.4390 0.4390 0.8781  4 In 3.30, 5 Nd 3.52-3.64
Dy1 0.2937 0.2937 0.5875  4 In 3.30, 8 Dy 3.52-3.61
Dy2 0.7063 0.7063 0.4125  4 In 3.30, 8 Dy 3.52-3.61
In1 0.1335 0.1335 0.2669  4 Nd 3.30, 4 Dy 3.30, 4 In 3.52
In2 0.8665 0.8665 0.7331  4 Nd 3.30, 4 Dy 3.30, 4 In 3.52

Compound: NdDy4In
Source: the Alexandria database
Functional: PBE-GGA
Structure: optimized geometry

Summary:
- formation energy (meV per atom) = -131
- ρ (kg/m³) = 8376
- energy above the most stable polymorph in this dataset (meV per atom) = 16
- E_tot (Ry per atom) = -0.327

abc: 4.8768 9.9406 7.8250
angles: 90.00 108.16 90.00
Closest atoms and distances in Å follow each position.
Sites, in units of the cell vectors:
Nd1 0.6683 0.7048 0.3365  9 Dy 3.43-3.53, 3 In 3.46-3.54
Nd2 0.3317 0.2048 0.6635  9 Dy 3.43-3.53, 3 In 3.46-3.54
Dy1 0.0018 0.1975 0.0036  2 In 3.45-3.51, 8 Dy 3.46-3.60, 2 Nd 3.51
Dy2 0.9982 0.6975 0.9964  2 In 3.45-3.51, 8 Dy 3.46-3.60, 2 Nd 3.51
Dy3 0.4949 0.9470 0.9897  2 In 3.40, 8 Dy 3.48-3.61, 2 Nd 3.53
Dy4 0.5051 0.4470 0.0103  2 In 3.40, 8 Dy 3.48-3.61, 2 Nd 3.53
Dy5 0.8262 0.4470 0.6524  3 Nd 3.43-3.48, 2 In 3.43, 7 Dy 3.44-3.61
Dy6 0.1738 0.9470 0.3476  3 Nd 3.43-3.48, 2 In 3.43, 7 Dy 3.44-3.61
Dy7 0.6665 0.1911 0.3330  7 Dy 3.44-3.52, 2 Nd 3.46, 3 In 3.50-3.52
Dy8 0.3335 0.6911 0.6670  7 Dy 3.44-3.52, 2 Nd 3.46, 3 In 3.50-3.52
In1 0.8360 0.9461 0.6719  9 Dy 3.40-3.52, 3 Nd 3.46-3.54
In2 0.1640 0.4461 0.3281  9 Dy 3.40-3.52, 3 Nd 3.46-3.54

Compound: NdDy4In2
Source: the Alexandria database
Functional: PBE-GGA
Structure: optimized geometry

Summary:
- formation energy (meV per atom) = 165
- ρ (kg/m³) = 7804
- energy above the most stable polymorph in this dataset (meV per atom) = 282
- E_tot (Ry per atom) = -0.289

abc: 5.7960 5.7960 7.6716
angles: 112.19 112.19 90.00
Closest atoms and distances in Å follow each position.
Sites, in units of the cell vectors:
Nd1 0.0000 0.0000 0.0000  4 Dy 2.90
Dy1 0.7500 0.2500 0.5000  2 Dy 3.24, 4 In 3.33
Dy2 0.2500 0.7500 0.5000  2 Dy 3.24, 4 In 3.33
Dy3 0.5000 0.0000 0.0000  2 Nd 2.90, 2 Dy 3.24
Dy4 0.0000 0.5000 0.0000  2 Nd 2.90, 2 Dy 3.24
In1 0.6242 0.6242 0.2484  1 In 3.22, 8 Dy 3.32-3.33
In2 0.3758 0.3758 0.7516  1 In 3.22, 8 Dy 3.32-3.33

Compound: Nd2Dy5In3
Source: the Alexandria database
Functional: PBE-GGA
Structure: optimized geometry

Summary:
- formation energy (meV per atom) = -88
- ρ (kg/m³) = 7489
- E_tot (Ry per atom) = -0.306

abc: 6.6605 10.4329 10.4329
angles: 93.18 71.39 71.39
Closest atoms and distances in Å follow each position.
Sites, in units of the cell vectors:
Nd1 0.1464 0.5583 0.1488  4 In 3.45-3.68, 4 Dy 3.51-3.80
Nd2 0.6464 0.1488 0.5583  4 In 3.45-3.68, 4 Dy 3.51-3.80
Nd3 0.8536 0.4417 0.8512  4 In 3.45-3.68, 4 Dy 3.51-3.80
Nd4 0.3536 0.8512 0.4417  4 In 3.45-3.68, 4 Dy 3.51-3.80
Dy1 0.4223 0.2376 0.9179  3 In 3.03-3.10
Dy2 0.9223 0.9179 0.2376  3 In 3.03-3.10
Dy3 0.5777 0.7624 0.0821  3 In 3.03-3.10
Dy4 0.0777 0.0821 0.7624  3 In 3.03-3.10
Dy5 0.4915 0.7585 0.7585  3 In 3.07-3.19, 3 Dy 3.28-3.33
Dy6 0.5085 0.2415 0.2415  3 In 3.07-3.19, 3 Dy 3.28-3.33
Dy7 0.7500 0.5000 0.5000  4 In 3.25, 4 Dy 3.28-3.33
Dy8 0.2500 0.5000 0.5000  4 In 3.25, 4 Dy 3.28-3.33
Dy9 0.0085 0.2415 0.2415  3 In 3.07-3.19, 3 Dy 3.28-3.33
Dy10 0.9915 0.7585 0.7585  3 In 3.07-3.19, 3 Dy 3.28-3.33
In1 0.3655 0.4885 0.7805  5 Dy 3.03-3.25
In2 0.8655 0.7805 0.4885  5 Dy 3.03-3.25
In3 0.6345 0.5115 0.2195  5 Dy 3.03-3.25
In4 0.1345 0.2195 0.5115  5 Dy 3.03-3.25
In5 0.2500 0.0000 0.0000  6 Dy 3.07-3.10, 2 In 3.33
In6 0.7500 0.0000 0.0000  6 Dy 3.07-3.10, 2 In 3.33